AlSnMo2O: optimized geometry, PBE with a Hubbard U.

Lattice parameters (Å, degrees): 5.179 5.179 5.099 90.00 90.00 90.00
Positions (direct):
Al 0.000 0.000 0.000
Sn 0.000 0.000 0.500
Mo 0.000 0.500 0.000
Mo 0.500 0.000 0.000
O 0.500 0.500 0.500

Summary:
size of the total moment	7.5	μB per cell
total DFT energy (no corrections)	-3.82	eV per atom